Below is a relaxed structure of Rb2ErMnF6, with properties calculated at the GGA+U level.

The structure in CIF format:
```
data_Rb2ErMnF6
_chemical_formula_sum 'Rb8 Er4 Mn4 F24'
_space_group_name_H-M_alt 'F m -3 m'
_space_group_IT_number 225
_space_group_name_Hall '-F 4 2 3'
_cell_length_a 9.186
_cell_length_b 9.186
_cell_length_c 9.186
_cell_angle_alpha 90.00
_cell_angle_beta 90.00
_cell_angle_gamma 90.00
loop_
_atom_site_label
_atom_site_fract_x
_atom_site_fract_y
_atom_site_fract_z
Rb1 0.250 0.250 0.250
Er1 0.000 0.000 0.000
Mn1 0.000 0.000 0.500
F1 0.000 0.000 0.236
```

Output
Crystal system: cubic
Raw total energy in eV per atom: -5.493